Entry 1:
A relaxed LiGa2W2 crystal, computed with GGA-PBE.

Unit cell a=6.5782 b=6.5782 c=3.5815 alpha=90.00 beta=90.00 gamma=90.00
Last column: nearest neighbours and their distance in Å.
Space group P4/mbm (No. 127)
Inequivalent atoms, fractional coordinates:
1 Li 0.0000 0.0000 0.0000 x2  4 Ga 2.52
2 Ga 0.1456 0.3544 0.0000 x4  2 Li 2.52, 6 W 2.60-2.65, 1 Ga 2.71
3 W 0.1514 0.6514 0.5000 x4  6 Ga 2.60-2.65, 1 W 2.82

Output
The volume is 15.50 A^3/atom. As for the energy of formation: 0.37 eV per atom. The density of states at the Fermi level is 7.3 states/eV per cell.

Entry 2:
A relaxed LiGaW2 crystal, computed with GGA-PBE.

Unit cell a=6.9075 b=6.9075 c=5.2386 alpha=90.00 beta=90.00 gamma=90.00
Last column: nearest neighbours and their distance in Å.
Space group I-42d (No. 122)
Inequivalent atoms, fractional coordinates:
1 Li 0.0000 0.0000 0.0000 x4  4 W 2.52, 2 Ga 2.62
2 Ga 0.0000 0.0000 0.5000 x4  4 W 2.54, 2 Li 2.62
3 W 0.2486 0.2500 0.1250 x8  2 Li 2.52, 2 Ga 2.54, 2 W 2.62

Output
The volume is 15.62 A^3/atom. As for the energy of formation: 0.89 eV per atom. The density of states at the Fermi level is 3.8 states/eV per cell.

Entry 3:
A relaxed LiGa2W crystal, computed with GGA-PBE.

Unit cell a=6.2635 b=6.2635 c=6.2635 alpha=90.00 beta=90.00 gamma=90.00
Last column: nearest neighbours and their distance in Å.
Space group Fm-3m (No. 225)
Inequivalent atoms, fractional coordinates:
1 Li 0.0000 0.0000 0.0000 x4  8 Ga 2.71
2 Ga 0.2500 0.2500 0.2500 x8  4 W 2.71, 4 Li 2.71
3 W 0.0000 0.0000 0.5000 x4  8 Ga 2.71

Output
The value obtained for the energy relative to the lowest polymorph listed for this composition is 0.219 eV/atom. The volume is 15.36 A^3/atom. As for the energy of formation: 0.21 eV per atom. The density of states at the Fermi level is 11.1 states/eV per cell.

Entry 4:
A relaxed LiGaW3 crystal, computed with GGA-PBE.

Unit cell a=4.2443 b=4.2443 c=4.2443 alpha=90.00 beta=90.00 gamma=90.00
Last column: nearest neighbours and their distance in Å.
Space group Pm-3m (No. 221)
Inequivalent atoms, fractional coordinates:
1 Li 0.0000 0.0000 0.0000 x1  6 W 2.12
2 Ga 0.5000 0.5000 0.5000 x1  12 W 3.00
3 W 0.0000 0.0000 0.5000 x3  2 Li 2.12

Output
The value obtained for the energy relative to the lowest polymorph listed for this composition is 0.000 eV/atom. The volume is 15.29 A^3/atom. As for the energy of formation: 1.43 eV per atom. The density of states at the Fermi level is 4.9 states/eV per cell.

Entry 5:
A relaxed LiGa2W crystal, computed with GGA-PBE.

Unit cell a=3.9078 b=3.9078 c=17.6738 alpha=90.00 beta=90.00 gamma=90.00
Last column: nearest neighbours and their distance in Å.
Space group I-42d (No. 122)
Inequivalent atoms, fractional coordinates:
1 Li 0.0000 0.0000 0.0000 x4  4 Ga 2.62, 4 W 2.76
2 Ga 0.2375 0.2500 0.6250 x8  2 W 2.59, 2 Li 2.62, 4 Ga 2.69-2.83
3 W 0.0000 0.0000 0.5000 x4  4 Ga 2.59, 4 Li 2.76

Output
The value obtained for the energy relative to the lowest polymorph listed for this composition is 0.604 eV/atom. The volume is 16.87 A^3/atom. As for the energy of formation: 0.60 eV per atom. The density of states at the Fermi level is 10.0 states/eV per cell.

Entry 6:
A relaxed LiZrGa2W crystal, computed with GGA-PBE.

Unit cell a=4.9280 b=4.9280 c=4.4452 alpha=90.00 beta=90.00 gamma=90.00
Last column: nearest neighbours and their distance in Å.
Space group P4/mmm (No. 123)
Inequivalent atoms, fractional coordinates:
1 Li 0.0000 0.0000 0.0000 x1  2 Zr 2.22
2 Zr 0.0000 0.0000 0.5000 x1  2 Li 2.22, 4 Ga 2.46
3 Ga 0.0000 0.5000 0.5000 x2  2 Zr 2.46
4 W 0.5000 0.5000 0.0000 x1  8 Ga 3.32, 4 Li 3.48

Output
The volume is 21.59 A^3/atom. As for the energy of formation: 1.76 eV per atom. The density of states at the Fermi level is 3.9 states/eV per cell.

Entry 7:
A relaxed Li2YGa6 crystal, computed with GGA-PBE.

Unit cell a=7.6188 b=7.6188 c=3.4225 alpha=90.00 beta=90.00 gamma=120.00
Last column: nearest neighbours and their distance in Å.
Space group P6/mmm (No. 191)
Inequivalent atoms, fractional coordinates:
1 Li 0.3333 0.6667 0.0000 x2  12 Ga 3.05
2 Y 0.0000 0.0000 0.0000 x1  12 Ga 3.09, 2 Y 3.42
3 Ga 0.0000 0.3377 0.5000 x6  3 Ga 2.47-2.57

Output
The value obtained for the energy relative to the lowest polymorph listed for this composition is 0.000 eV/atom. The volume is 19.12 A^3/atom. As for the energy of formation: -0.33 eV per atom. The density of states at the Fermi level is 3.0 states/eV per cell.

Entry 8:
A relaxed LiYGa2 crystal, computed with GGA-PBE.

Unit cell a=4.2853 b=4.2853 c=15.0225 alpha=90.00 beta=90.00 gamma=120.00
Last column: nearest neighbours and their distance in Å.
Space group R-3m (No. 166, hexagonal axes)
Inequivalent atoms, fractional coordinates:
1 Li 0.0000 0.0000 0.0000 x3  6 Ga 2.56
2 Y 0.0000 0.0000 0.5000 x3  8 Ga 3.08-3.17
3 Ga 0.0000 0.0000 0.2891 x6  3 Li 2.56, 3 Ga 2.81

Output
The volume is 19.91 A^3/atom. As for the energy of formation: -0.50 eV per atom. The density of states at the Fermi level is 5.5 states/eV per cell.

Entry 9:
A relaxed LiY2Ga2 crystal, computed with GGA-PBE.

Unit cell a=7.2467 b=7.2467 c=4.3912 alpha=90.00 beta=90.00 gamma=90.00
Last column: nearest neighbours and their distance in Å.
Space group P4/mbm (No. 127)
Inequivalent atoms, fractional coordinates:
1 Li 0.0000 0.0000 0.0000 x2  4 Ga 2.83
2 Y 0.1678 0.3322 0.5000 x4  6 Ga 3.00-3.11
3 Ga 0.1332 0.6332 0.0000 x4  1 Ga 2.73, 2 Li 2.83, 2 Y 3.00

Output
The value obtained for the energy relative to the lowest polymorph listed for this composition is 0.001 eV/atom. The volume is 23.06 A^3/atom. As for the energy of formation: -0.49 eV per atom. The density of states at the Fermi level is 8.5 states/eV per cell.

Entry 10:
A relaxed LiY4Ga3 crystal, computed with GGA-PBE.

Unit cell a=5.0771 b=5.0771 c=25.0592 alpha=90.00 beta=90.00 gamma=120.00
Last column: nearest neighbours and their distance in Å.
Space group R-3m (No. 166, hexagonal axes)
Inequivalent atoms, fractional coordinates:
1 Li 0.0000 0.0000 0.0000 x3  8 Y 3.14-3.18, 6 Ga 3.49
2 Y 0.0000 0.0000 0.1270 x6  7 Ga 3.10-3.29, 1 Li 3.18
3 Y 0.0000 0.0000 0.3784 x6  5 Ga 3.02-3.05, 3 Li 3.14
4 Ga 0.0000 0.0000 0.2581 x6  8 Y 3.02-3.29
5 Ga 0.0000 0.0000 0.5000 x3  8 Y 3.05-3.10

Output
The volume is 23.31 A^3/atom. As for the energy of formation: -0.50 eV per atom. The density of states at the Fermi level is 17.9 states/eV per cell.

Entry 11:
A relaxed Li2Y2Ga crystal, computed with GGA-PBE.

Unit cell a=6.8250 b=6.8250 c=4.7503 alpha=90.00 beta=90.00 gamma=90.00
Last column: nearest neighbours and their distance in Å.
Space group P4/mbm (No. 127)
Inequivalent atoms, fractional coordinates:
1 Li 0.1306 0.3694 0.0000 x4  1 Li 2.52, 2 Ga 2.67
2 Y 0.1881 0.6881 0.5000 x4  6 Li 2.95-3.24
3 Ga 0.0000 0.0000 0.0000 x2  4 Li 2.67

Output
The value obtained for the energy relative to the lowest polymorph listed for this composition is 0.000 eV/atom. The volume is 22.13 A^3/atom. As for the energy of formation: -0.11 eV per atom. The density of states at the Fermi level is 5.7 states/eV per cell.

Entry 12:
A relaxed Li2YGa2 crystal, computed with GGA-PBE.

Unit cell a=7.8377 b=7.8377 c=3.1470 alpha=90.00 beta=90.00 gamma=90.00
Last column: nearest neighbours and their distance in Å.
Space group P4/mbm (No. 127)
Inequivalent atoms, fractional coordinates:
1 Li 0.1714 0.3286 0.0000 x4  6 Ga 2.77-2.82
2 Y 0.0000 0.0000 0.5000 x2  4 Ga 3.11, 2 Y 3.15, 8 Li 3.30
3 Ga 0.1229 0.6229 0.5000 x4  1 Ga 2.72, 6 Li 2.77-2.82

Output
The value obtained for the energy relative to the lowest polymorph listed for this composition is 0.171 eV/atom. The volume is 19.33 A^3/atom. As for the energy of formation: -0.22 eV per atom. The density of states at the Fermi level is 4.7 states/eV per cell.